# GGA-PBE KNa2CdAs, relaxed
data_KNa2CdAs
_chemical_formula_sum 'K1 Na2 Cd1 As1'
_symmetry_space_group_name_H-M 'P 1'
_symmetry_Int_Tables_number 1
_cell_length_a 5.6423
_cell_length_b 5.6423
_cell_length_c 5.6245
_cell_angle_alpha 90.00
_cell_angle_beta 90.00
_cell_angle_gamma 90.00
loop_
_symmetry_equiv_pos_as_xyz
'x,y,z'
loop_
_atom_site_label
_atom_site_type_symbol
_atom_site_fract_x
_atom_site_fract_y
_atom_site_fract_z
K1 K 0.0000 0.0000 0.0000
Na1 Na 0.0000 0.5000 0.5000
Na2 Na 0.5000 0.0000 0.5000
Cd1 Cd 0.5000 0.5000 0.0000
As1 As 0.5000 0.5000 0.5000
# Crystal system: tetragonal
# DOS at the Fermi energy: 2.30 states/eV/f.u.
# Total energy: -2.01 eV per atom
# ρ: 2.53 Mg/m³
# Space group: P4/mmm